Entry 1:
Computed, not measured: a geometry-optimized ErAg2Hg2 structure at the PBE-GGA level of DFT.

Lattice parameters (Å, degrees): 5.314 5.142 8.226 90.00 108.31 90.00
Space group P2_1/m (No. 11)
Asymmetric unit:
Er 0.209 0.250 0.299
Ag 0.391 0.750 0.909
Ag 0.416 0.250 0.705
Hg 0.027 0.250 0.899
Hg 0.202 0.750 0.510

E above lowest polymorph (meV/atom): 0.0
D(E_F) (states/eV/f.u.): 2.36

***

Entry 2:
Computed, not measured: a geometry-optimized Er2Ag3Hg structure at the PBE-GGA level of DFT.

Lattice parameters (Å, degrees): 6.611 9.643 16.713 90.00 90.00 90.00
Space group Fmmm (No. 69)
Asymmetric unit:
Er 0.248 0.000 0.000
Er 0.250 0.250 0.250
Ag 0.000 0.000 0.165
Ag 0.000 0.248 0.082
Hg 0.000 0.000 0.333

E above lowest polymorph (meV/atom): 0.0
D(E_F) (states/eV/f.u.): 3.43

***

Entry 3:
Computed, not measured: a geometry-optimized ErAg2Hg structure at the PBE-GGA level of DFT.

Lattice parameters (Å, degrees): 3.682 3.682 6.471 90.00 90.00 90.00
Space group P4/mmm (No. 123)
Asymmetric unit:
Er 0.000 0.000 0.000
Ag 0.500 0.500 0.252
Hg 0.000 0.000 0.500

D(E_F) (states/eV/f.u.): 2.03

***

Entry 4:
Computed, not measured: a geometry-optimized Er3Ag2Hg6 structure at the PBE-GGA level of DFT.

Lattice parameters (Å, degrees): 4.334 4.334 28.533 90.00 90.00 90.00
Space group I4/mmm (No. 139)
Asymmetric unit:
Er 0.000 0.000 0.000
Er 0.000 0.000 0.202
Ag 0.000 0.000 0.454
Hg 0.000 0.000 0.307
Hg 0.000 0.500 0.112

D(E_F) (states/eV/f.u.): 6.96

***

Entry 5:
Computed, not measured: a geometry-optimized Er2Ag4Hg structure at the PBE-GGA level of DFT.

Lattice parameters (Å, degrees): 6.806 9.839 5.893 90.00 123.27 90.00
Space group C2/m (No. 12)
Asymmetric unit:
Er 0.000 0.202 0.000
Ag 0.000 0.286 0.500
Ag 0.110 0.500 0.858
Hg 0.000 0.000 0.500

D(E_F) (states/eV/f.u.): 3.56

***

Entry 6:
Computed, not measured: a geometry-optimized ErAg2Hg structure at the PBE-GGA level of DFT.

Lattice parameters (Å, degrees): 9.330 4.559 4.556 90.00 118.98 90.00
Space group Cm (No. 8)
Asymmetric unit:
Er 0.000 0.000 0.000
Ag 0.000 0.500 0.500
Ag 0.250 0.000 0.748
Hg 0.250 0.500 0.252

D(E_F) (states/eV/f.u.): 1.93

***

Entry 7:
Computed, not measured: a geometry-optimized Er2AgHg5 structure at the PBE-GGA level of DFT.

Lattice parameters (Å, degrees): 4.7202 4.7202 32.0184 90.00 90.00 120.00
Space group R-3m (No. 166, hexagonal axes)
Asymmetric unit:
Er 0.0000 0.0000 0.0941
Ag 0.0000 0.0000 0.0000
Hg 0.0000 0.0000 0.2025
Hg 0.0000 0.0000 0.3727
Hg 0.0000 0.0000 0.5000

E above lowest polymorph (meV/atom): 66.9
D(E_F) (states/eV/f.u.): 3.40

***

Entry 8:
Computed, not measured: a geometry-optimized Er7Ag2Hg2 structure at the PBE-GGA level of DFT.

Lattice parameters (Å, degrees): 7.760 10.970 7.441 90.00 90.00 90.00
Space group Cmmm (No. 65)
Asymmetric unit:
Er 0.000 0.000 0.000
Er 0.000 0.500 0.258
Er 0.250 0.250 0.276
Ag 0.000 0.294 0.000
Hg 0.183 0.000 0.500

D(E_F) (states/eV/f.u.): 10.42

***

| no. | calculated formation energy (kJ per mole of atoms) | calculated total energy (eV per atom) | spin magnetization (μB/cell) |
| --- | --- | --- | --- |
| 1 | -20.07 | -2.38 | 0.00 |
| 2 | -28.02 | -3.29 | 0.00 |
| 3 | -17.45 | -2.82 | 0.00 |
| 4 | -17.82 | -2.11 | 0.00 |
| 5 | -5.64 | -3.03 | 0.00 |
| 6 | -25.63 | -2.91 | 0.00 |
| 7 | -14.99 | -1.84 | 0.00 |
| 8 | -2.08 | -3.50 | 0.00 |